This record from Alexandria via LeMat-Bulk describes a geometry-optimized Th2ZnInRu structure. The functional is PBE.

Cell: 4.2516 7.6603 7.9406 Å, 107.31 90.00 90.00°
Closest atoms and distances in Å follow each position.
Sites, in units of the cell vectors:
In 0.7500 0.3297 0.6645  3 Zn 2.77-2.91
Th 0.2500 0.1105 0.3432  2 Ru 2.85
Zn 0.2500 0.5574 0.6541  1 Ru 2.62, 3 In 2.77-2.91
In 0.2500 0.6703 0.3355  3 Zn 2.77-2.91
Zn 0.7500 0.4426 0.3459  1 Ru 2.62, 3 In 2.77-2.91
Th 0.7500 0.8895 0.6568  2 Ru 2.85
Ru 0.7500 0.1226 0.1070  1 Zn 2.62, 4 Th 2.82-2.85
Ru 0.2500 0.8774 0.8930  1 Zn 2.62, 4 Th 2.82-2.85
Th 0.7500 0.7156 0.0261  3 Ru 2.82-2.99
Th 0.2500 0.2844 0.9739  3 Ru 2.82-2.99

## Properties
For the uncorrected energy, the calculation gives -5.98 eV/atom. For the energy of formation from the pure elements, the calculation gives -355 meV/atom.